[1]
! KGaAg3 PBE relaxed; values from VASP
&SYSTEM
  ibrav = 0, nat = 10, ntyp = 3
/
ATOMIC_SPECIES
K 39.10 K.upf
Ga 69.72 Ga.upf
Ag 107.87 Ag.upf
ATOMIC_POSITIONS angstrom
K 0.000 1.913 0.108
K 2.951 1.913 5.011
Ga 2.951 0.000 0.000
Ga 0.000 0.000 5.119
Ag 1.476 3.366 -2.559
Ag 1.476 -0.461 2.559
Ag 2.951 1.913 1.787
Ag 0.000 1.913 3.332
Ag -1.476 4.287 2.559
Ag 1.476 4.287 2.559
CELL_PARAMETERS angstrom
-2.951 3.826 5.119
2.951 -3.826 5.119
2.951 3.826 -5.119
! * density: 6.21 g cm⁻³
! * space group: No. 74
! * ΔE to the lowest computed polymorph: 45 meV per atom



[2]
! KGa2Ag2 PBE relaxed; values from VASP
&SYSTEM
  ibrav = 0, nat = 10, ntyp = 3
/
ATOMIC_SPECIES
K 39.10 K.upf
Ga 69.72 Ga.upf
Ag 107.87 Ag.upf
ATOMIC_POSITIONS angstrom
K 0.000 0.000 0.000
K 4.261 4.261 0.000
Ga 1.080 3.181 0.000
Ga 3.181 7.442 0.000
Ga 5.341 1.080 0.000
Ga 7.442 5.341 0.000
Ag 1.396 5.657 1.461
Ag 2.865 1.396 1.461
Ag 5.657 7.126 1.461
Ag 7.126 2.865 1.461
CELL_PARAMETERS angstrom
8.522 0.000 0.000
0.000 8.522 0.000
0.000 0.000 2.923
! * density: 6.17 g cm⁻³
! * space group: No. 127
! * ΔE to the lowest computed polymorph: 60 meV per atom



[3]
! KGaAg2 PBE relaxed; values from VASP
&SYSTEM
  ibrav = 0, nat = 16, ntyp = 3
/
ATOMIC_SPECIES
K 39.10 K.upf
Ga 69.72 Ga.upf
Ag 107.87 Ag.upf
ATOMIC_POSITIONS angstrom
K 0.000 0.000 0.000
K 0.000 3.607 3.607
K 3.607 0.000 3.607
K 3.607 3.607 0.000
Ga 0.000 0.000 3.607
Ga 0.000 3.607 0.000
Ga 3.607 0.000 0.000
Ga 3.607 3.607 3.607
Ag 1.803 1.803 1.803
Ag 1.803 1.803 5.410
Ag 1.803 5.410 1.803
Ag 1.803 5.410 5.410
Ag 5.410 1.803 1.803
Ag 5.410 1.803 5.410
Ag 5.410 5.410 1.803
Ag 5.410 5.410 5.410
CELL_PARAMETERS angstrom
7.213 0.000 0.000
0.000 7.213 0.000
0.000 0.000 7.213
! * density: 5.74 g cm⁻³
! * space group: No. 225
! * ΔE to the lowest computed polymorph: 282 meV per atom



[4]
! KGa2Ag2 PBE relaxed; values from VASP
&SYSTEM
  ibrav = 0, nat = 10, ntyp = 3
/
ATOMIC_SPECIES
K 39.10 K.upf
Ga 69.72 Ga.upf
Ag 107.87 Ag.upf
ATOMIC_POSITIONS angstrom
K 0.000 0.000 0.000
K 4.303 4.303 0.000
Ga 1.147 3.156 1.425
Ga 3.156 7.459 1.425
Ga 5.450 1.147 1.425
Ga 7.459 5.450 1.425
Ag 1.339 5.642 0.000
Ag 2.964 1.339 0.000
Ag 5.642 7.267 0.000
Ag 7.267 2.964 0.000
CELL_PARAMETERS angstrom
8.606 0.000 0.000
0.000 8.606 0.000
0.000 0.000 2.851
! * density: 6.20 g cm⁻³
! * space group: No. 127
! * ΔE to the lowest computed polymorph: 58 meV per atom



[5]
! K4GaAg5 PBE relaxed; values from VASP
&SYSTEM
  ibrav = 0, nat = 10, ntyp = 3
/
ATOMIC_SPECIES
K 39.10 K.upf
Ga 69.72 Ga.upf
Ag 107.87 Ag.upf
ATOMIC_POSITIONS angstrom
K -1.624 0.001 2.792
K 2.788 0.000 1.631
K 4.394 0.000 5.543
K 8.806 0.001 4.383
Ga 7.169 -1.783 0.000
Ag 7.169 2.098 0.000
Ag -1.873 -0.007 6.313
Ag 0.873 -0.005 5.289
Ag 6.309 -0.005 1.886
Ag 9.055 -0.007 0.861
CELL_PARAMETERS angstrom
7.169 -3.279 0.000
7.169 3.279 0.000
-7.157 0.000 7.174
! * density: 3.77 g cm⁻³
! * space group: No. 5



[6]
! KGa12Ag4 PBE relaxed; values from VASP
&SYSTEM
  ibrav = 0, nat = 17, ntyp = 3
/
ATOMIC_SPECIES
K 39.10 K.upf
Ga 69.72 Ga.upf
Ag 107.87 Ag.upf
ATOMIC_POSITIONS angstrom
K 0.000 0.000 0.000
Ga 3.261 1.340 0.000
Ga 5.867 1.340 0.000
Ga 4.564 -1.303 3.224
Ga 3.224 4.564 -1.303
Ga 1.340 0.000 3.261
Ga 4.564 1.303 3.224
Ga 0.000 3.261 1.340
Ga 3.224 4.564 1.303
Ga 1.340 0.000 5.867
Ga 0.000 5.867 1.340
Ga -1.303 3.224 4.564
Ga 1.303 3.224 4.564
Ag 2.282 2.282 -2.282
Ag 2.282 -2.282 2.282
Ag -2.282 2.282 2.282
Ag 2.282 2.282 2.282
CELL_PARAMETERS angstrom
-4.564 4.564 4.564
4.564 -4.564 4.564
4.564 4.564 -4.564
! * density: 5.71 g cm⁻³
! * space group: No. 204



[7]
! KGa3Ag PBE relaxed; values from VASP
&SYSTEM
  ibrav = 0, nat = 20, ntyp = 3
/
ATOMIC_SPECIES
K 39.10 K.upf
Ga 69.72 Ga.upf
Ag 107.87 Ag.upf
ATOMIC_POSITIONS angstrom
K 5.773 5.039 4.861
K 6.659 1.270 1.620
K 5.773 -1.270 4.861
K 6.659 -5.039 1.620
Ga 1.516 1.880 4.294
Ga 2.524 1.750 0.363
Ga 3.170 0.378 2.625
Ga 2.284 -0.378 5.866
Ga 1.637 -1.750 3.604
Ga 2.403 -1.880 1.053
Ga 10.029 1.880 5.428
Ga 10.795 1.750 2.877
Ga 10.148 0.378 0.615
Ga 9.262 -0.378 3.856
Ga 9.908 -1.750 6.118
Ga 10.916 -1.880 2.187
Ag 4.397 1.989 4.494
Ag 7.148 1.989 5.228
Ag 5.284 -1.989 1.253
Ag 8.035 -1.989 1.988
CELL_PARAMETERS angstrom
7.103 -5.247 0.000
7.103 5.247 0.000
-1.773 0.000 6.481
! * density: 4.90 g cm⁻³
! * space group: No. 15
! * ΔE to the lowest computed polymorph: 0 meV per atom



[8]
! K2GaAg PBE relaxed; values from VASP
&SYSTEM
  ibrav = 0, nat = 16, ntyp = 3
/
ATOMIC_SPECIES
K 39.10 K.upf
Ga 69.72 Ga.upf
Ag 107.87 Ag.upf
ATOMIC_POSITIONS angstrom
K 2.119 2.356 0.771
K 2.356 6.830 2.314
K 2.356 7.304 5.399
K 2.592 2.356 3.857
K 6.830 7.067 3.857
K 7.067 2.119 5.399
K 7.067 2.592 2.314
K 7.304 7.067 0.771
Ga 0.000 0.000 3.085
Ga 0.000 4.711 4.628
Ga 4.711 0.000 1.543
Ga 4.711 4.711 0.000
Ag 0.000 0.000 0.000
Ag 0.000 4.711 1.543
Ag 4.711 0.000 4.628
Ag 4.711 4.711 3.085
CELL_PARAMETERS angstrom
9.423 0.000 0.000
0.000 9.423 0.000
0.000 0.000 6.171
! * density: 3.10 g cm⁻³
! * space group: No. 122
! * ΔE to the lowest computed polymorph: 275 meV per atom



[9]
! KGa2Ag9 PBE relaxed; values from VASP
&SYSTEM
  ibrav = 0, nat = 12, ntyp = 3
/
ATOMIC_SPECIES
K 39.10 K.upf
Ga 69.72 Ga.upf
Ag 107.87 Ag.upf
ATOMIC_POSITIONS angstrom
K 0.000 0.000 0.000
Ga 0.000 5.355 0.000
Ga 4.637 2.677 0.000
Ag -2.319 4.016 0.000
Ag 0.000 3.046 1.570
Ag -1.999 6.509 1.570
Ag 2.638 1.523 1.570
Ag 4.637 0.000 0.000
Ag 2.319 4.016 0.000
Ag 1.999 6.509 1.570
Ag 6.637 1.523 1.570
Ag 4.637 4.986 1.570
CELL_PARAMETERS angstrom
9.275 0.000 0.000
-4.637 8.032 0.000
0.000 0.000 3.140
! * density: 8.16 g cm⁻³
! * space group: No. 191



[10]
! KGa4Ag6 PBE relaxed; values from VASP
&SYSTEM
  ibrav = 0, nat = 11, ntyp = 3
/
ATOMIC_SPECIES
K 39.10 K.upf
Ga 69.72 Ga.upf
Ag 107.87 Ag.upf
ATOMIC_POSITIONS angstrom
K 0.000 0.000 0.000
Ga 0.000 4.351 0.000
Ga 2.319 1.339 2.249
Ga 5.218 1.339 2.249
Ga 3.768 3.849 2.249
Ag 0.000 2.678 2.249
Ag -1.449 5.188 2.249
Ag 3.768 0.471 0.000
Ag 2.292 3.028 0.000
Ag 1.449 5.188 2.249
Ag 5.245 3.028 0.000
CELL_PARAMETERS angstrom
7.537 0.000 0.000
-3.768 6.527 0.000
0.000 0.000 4.498
! * density: 7.24 g cm⁻³
! * space group: No. 187



[11]
! KGa2Ag2 PBE relaxed; values from VASP
&SYSTEM
  ibrav = 0, nat = 10, ntyp = 3
/
ATOMIC_SPECIES
K 39.10 K.upf
Ga 69.72 Ga.upf
Ag 107.87 Ag.upf
ATOMIC_POSITIONS angstrom
K 0.000 0.000 0.000
K 2.280 2.280 5.798
Ga 0.000 2.280 2.899
Ga 0.000 2.280 8.697
Ga 2.280 0.000 2.899
Ga 2.280 0.000 8.697
Ag 0.000 0.000 4.363
Ag 0.000 0.000 7.233
Ag 2.280 2.280 1.435
Ag 2.280 2.280 10.161
CELL_PARAMETERS angstrom
4.559 0.000 0.000
0.000 4.559 0.000
0.000 0.000 11.596
! * density: 5.43 g cm⁻³
! * space group: No. 139
! * ΔE to the lowest computed polymorph: 57 meV per atom



[12]
! KGa2Ag2 PBE relaxed; values from VASP
&SYSTEM
  ibrav = 0, nat = 10, ntyp = 3
/
ATOMIC_SPECIES
K 39.10 K.upf
Ga 69.72 Ga.upf
Ag 107.87 Ag.upf
ATOMIC_POSITIONS angstrom
K 0.000 0.000 0.000
K 2.430 2.430 5.010
Ga 0.000 0.000 3.667
Ga 0.000 0.000 6.352
Ga 2.430 2.430 1.342
Ga 2.430 2.430 8.677
Ag 0.000 2.430 2.505
Ag 0.000 2.430 7.515
Ag 2.430 0.000 2.505
Ag 2.430 0.000 7.515
CELL_PARAMETERS angstrom
4.861 0.000 0.000
0.000 4.861 0.000
0.000 0.000 10.020
! * density: 5.53 g cm⁻³
! * space group: No. 139
! * ΔE to the lowest computed polymorph: 0 meV per atom



[13]
! KGaAg PBE relaxed; values from VASP
&SYSTEM
  ibrav = 0, nat = 6, ntyp = 3
/
ATOMIC_SPECIES
K 39.10 K.upf
Ga 69.72 Ga.upf
Ag 107.87 Ag.upf
ATOMIC_POSITIONS angstrom
K 0.506 1.246 2.747
K 3.026 3.738 3.543
Ga 0.190 3.738 6.284
Ga 3.342 1.246 0.007
Ag -1.066 1.246 5.833
Ag 4.598 3.738 0.458
CELL_PARAMETERS angstrom
5.290 0.000 0.000
0.000 4.984 0.000
-1.757 0.000 6.291
! * density: 4.34 g cm⁻³
! * space group: No. 11
! * ΔE to the lowest computed polymorph: 0 meV per atom



[14]
! K2Ga2Ag PBE relaxed; values from VASP
&SYSTEM
  ibrav = 0, nat = 10, ntyp = 3
/
ATOMIC_SPECIES
K 39.10 K.upf
Ga 69.72 Ga.upf
Ag 107.87 Ag.upf
ATOMIC_POSITIONS angstrom
K 0.000 0.000 2.163
K 0.000 0.000 19.040
K 1.930 1.930 8.438
K 1.930 1.930 12.764
Ga 0.000 1.930 5.301
Ga 0.000 1.930 15.902
Ga 1.930 0.000 5.301
Ga 1.930 0.000 15.902
Ag 0.000 0.000 10.601
Ag 1.930 1.930 0.000
CELL_PARAMETERS angstrom
3.861 0.000 0.000
0.000 3.861 0.000
0.000 0.000 21.202
! * density: 3.42 g cm⁻³
! * space group: No. 139
! * ΔE to the lowest computed polymorph: 104 meV per atom



[15]
! KGaAg2 PBE relaxed; values from VASP
&SYSTEM
  ibrav = 0, nat = 16, ntyp = 3
/
ATOMIC_SPECIES
K 39.10 K.upf
Ga 69.72 Ga.upf
Ag 107.87 Ag.upf
ATOMIC_POSITIONS angstrom
K 0.000 1.366 6.562
K 0.000 4.098 10.937
K 2.732 1.366 2.187
K 2.732 4.098 15.312
Ga 0.000 1.366 15.312
Ga 0.000 4.098 2.187
Ga 2.732 1.366 10.937
Ga 2.732 4.098 6.562
Ag 0.000 0.000 0.000
Ag 0.000 2.732 0.000
Ag 1.366 1.366 13.124
Ag 1.366 4.098 4.375
Ag 2.732 0.000 8.750
Ag 2.732 2.732 8.750
Ag 4.098 1.366 13.124
Ag 4.098 4.098 4.375
CELL_PARAMETERS angstrom
5.464 0.000 0.000
0.000 5.464 0.000
0.000 0.000 17.499
! * density: 4.13 g cm⁻³
! * space group: No. 141
! * ΔE to the lowest computed polymorph: 140 meV per atom



[16]
! K2GaAg PBE relaxed; values from VASP
&SYSTEM
  ibrav = 0, nat = 12, ntyp = 3
/
ATOMIC_SPECIES
K 39.10 K.upf
Ga 69.72 Ga.upf
Ag 107.87 Ag.upf
ATOMIC_POSITIONS angstrom
K 0.000 0.000 3.399
K 0.000 0.000 31.685
K 0.000 2.264 19.991
K 0.000 2.264 26.789
K 1.960 1.132 8.296
K 1.960 1.132 15.094
Ga 0.000 0.000 0.000
Ga 0.000 2.264 23.390
Ga 1.960 1.132 11.695
Ag 0.000 0.000 17.542
Ag 0.000 2.264 5.847
Ag 1.960 1.132 29.237
CELL_PARAMETERS angstrom
3.921 0.000 0.000
-1.960 3.396 0.000
0.000 0.000 35.085
! * density: 2.73 g cm⁻³
! * space group: No. 166
! * ΔE to the lowest computed polymorph: 393 meV per atom



[17]
! K2Ga3Ag17 PBE relaxed; values from VASP
&SYSTEM
  ibrav = 0, nat = 22, ntyp = 3
/
ATOMIC_SPECIES
K 39.10 K.upf
Ga 69.72 Ga.upf
Ag 107.87 Ag.upf
ATOMIC_POSITIONS angstrom
K 0.000 0.000 2.121
K 0.000 0.000 12.847
Ga -5.248 0.000 7.484
Ga -2.624 1.515 2.495
Ga 2.624 1.515 2.495
Ag -2.624 -1.515 4.989
Ag 0.000 -2.920 5.044
Ag -2.528 1.460 5.044
Ag -1.369 -2.370 7.484
Ag -2.737 0.000 7.484
Ag -2.528 -1.460 9.924
Ag 0.000 0.000 6.026
Ag -2.624 1.515 9.979
Ag 1.369 -2.370 7.484
Ag 0.000 3.030 4.989
Ag -1.369 2.370 7.484
Ag 0.000 0.000 8.942
Ag 2.528 1.460 5.044
Ag 2.737 0.000 7.484
Ag 1.369 2.370 7.484
Ag 2.528 -1.460 9.924
Ag 0.000 2.920 9.924
CELL_PARAMETERS angstrom
5.248 3.030 4.989
-5.248 3.030 4.989
0.000 -6.060 4.989
! * density: 7.40 g cm⁻³
! * space group: No. 166



[18]
! K3Ga8Ag3 PBE relaxed; values from VASP
&SYSTEM
  ibrav = 0, nat = 14, ntyp = 3
/
ATOMIC_SPECIES
K 39.10 K.upf
Ga 69.72 Ga.upf
Ag 107.87 Ag.upf
ATOMIC_POSITIONS angstrom
K 0.000 0.000 0.000
K 0.000 0.000 3.953
K 0.000 0.000 9.193
Ga 2.264 -1.871 2.402
Ga 2.264 -2.334 5.023
Ga 2.264 1.871 2.402
Ga 0.000 3.230 1.550
Ga 2.264 2.334 5.023
Ga 0.000 3.693 4.171
Ga 0.000 7.898 1.550
Ga 0.000 7.435 4.171
Ag 2.264 3.132 0.000
Ag 0.000 5.564 0.000
Ag 0.000 2.432 6.573
CELL_PARAMETERS angstrom
-2.264 5.564 6.573
2.264 -5.564 6.573
2.264 5.564 -6.573
! * density: 5.01 g cm⁻³
! * space group: No. 71



[19]
! K2Ga7Ag PBE relaxed; values from VASP
&SYSTEM
  ibrav = 0, nat = 10, ntyp = 3
/
ATOMIC_SPECIES
K 39.10 K.upf
Ga 69.72 Ga.upf
Ag 107.87 Ag.upf
ATOMIC_POSITIONS angstrom
K 0.000 2.272 2.756
K 2.272 0.000 8.295
Ga 0.000 0.000 0.000
Ga 0.000 2.272 6.961
Ga 0.000 2.272 9.600
Ga 2.272 0.000 1.451
Ga 2.272 0.000 4.090
Ga 2.272 2.272 0.000
Ga 2.272 2.272 5.525
Ag 0.000 0.000 5.525
CELL_PARAMETERS angstrom
4.544 0.000 0.000
0.000 4.544 0.000
0.000 0.000 11.051
! * density: 4.91 g cm⁻³
! * space group: No. 115



[20]
! KGaAg4 PBE relaxed; values from VASP
&SYSTEM
  ibrav = 0, nat = 6, ntyp = 3
/
ATOMIC_SPECIES
K 39.10 K.upf
Ga 69.72 Ga.upf
Ag 107.87 Ag.upf
ATOMIC_POSITIONS angstrom
K 0.000 0.000 0.000
Ga 6.080 6.080 6.080
Ag 3.043 3.043 3.043
Ag 5.063 5.063 3.043
Ag 5.063 3.043 5.063
Ag 3.043 5.063 5.063
CELL_PARAMETERS angstrom
0.000 4.053 4.053
4.053 0.000 4.053
4.053 4.053 0.000
! * density: 6.74 g cm⁻³
! * space group: No. 216



[21]
! KGa3Ag PBE relaxed; values from VASP
&SYSTEM
  ibrav = 0, nat = 5, ntyp = 3
/
ATOMIC_SPECIES
K 39.10 K.upf
Ga 69.72 Ga.upf
Ag 107.87 Ag.upf
ATOMIC_POSITIONS angstrom
K 0.000 0.000 0.000
Ga 0.000 0.000 2.852
Ga 0.000 2.852 0.000
Ga 2.852 0.000 0.000
Ag 2.852 2.852 2.852
CELL_PARAMETERS angstrom
5.704 0.000 0.000
0.000 5.704 0.000
0.000 0.000 5.704
! * density: 3.19 g cm⁻³
! * space group: No. 221
! * ΔE to the lowest computed polymorph: 1195 meV per atom



[22]
! KGa3Ag PBE relaxed; values from VASP
&SYSTEM
  ibrav = 0, nat = 5, ntyp = 3
/
ATOMIC_SPECIES
K 39.10 K.upf
Ga 69.72 Ga.upf
Ag 107.87 Ag.upf
ATOMIC_POSITIONS angstrom
K 0.000 0.000 0.000
Ga 0.000 2.587 2.587
Ga 2.587 0.000 2.587
Ga 2.587 2.587 0.000
Ag 2.587 2.587 2.587
CELL_PARAMETERS angstrom
5.174 0.000 0.000
0.000 5.174 0.000
0.000 0.000 5.174
! * density: 4.27 g cm⁻³
! * space group: No. 221
! * ΔE to the lowest computed polymorph: 223 meV per atom



[23]
! KGaAg3 PBE relaxed; values from VASP
&SYSTEM
  ibrav = 0, nat = 5, ntyp = 3
/
ATOMIC_SPECIES
K 39.10 K.upf
Ga 69.72 Ga.upf
Ag 107.87 Ag.upf
ATOMIC_POSITIONS angstrom
K 0.000 0.000 0.000
Ga 2.870 2.870 2.870
Ag 0.000 0.000 2.870
Ag 0.000 2.870 0.000
Ag 2.870 0.000 0.000
CELL_PARAMETERS angstrom
5.741 0.000 0.000
0.000 5.741 0.000
0.000 0.000 5.741
! * density: 3.80 g cm⁻³
! * space group: No. 221
! * ΔE to the lowest computed polymorph: 1051 meV per atom



| no. | N(E_F) (states/eV per atom) | uncorrected energy (eV for the cell shown) |
| --- | --- | --- |
| 1 | 0.362 | -24.7 |
| 2 | 0.405 | -25.7 |
| 3 | 0.487 | -35.6 |
| 4 | 0.320 | -25.7 |
| 5 | 0.495 | -20.7 |
| 6 | 0.659 | -47.1 |
| 7 | 0.461 | -52.7 |
| 8 | 0.404 | -28.1 |
| 9 | 0.337 | -32.2 |
| 10 | 0.386 | -30.6 |
| 11 | 0.478 | -25.7 |
| 12 | 0.459 | -26.3 |
| 13 | 0.252 | -14.2 |
| 14 | 0.250 | -21.7 |
| 15 | 0.899 | -37.9 |
| 16 | 0.639 | -19.6 |
| 17 | 0.324 | -56.9 |
| 18 | 0.313 | -37.1 |
| 19 | 0.565 | -27.5 |
| 20 | 0.950 | -14.8 |
| 21 | 1.351 | -7.2 |
| 22 | 0.551 | -12.1 |
| 23 | 0.555 | -7.3 |